--- P ---
CdP2SF | PBEsol | relaxed

```
data_CdP2SF
_cell_length_a 4.000
_cell_length_b 4.000
_cell_length_c 5.587
_cell_angle_alpha 90.00
_cell_angle_beta 90.00
_cell_angle_gamma 90.00
_space_group_name_H-M_alt 'P 4/m m m'
_space_group_IT_number 123
_space_group_name_Hall '-P 4 2'
loop_
_atom_site_label
_atom_site_type_symbol
_atom_site_fract_x
_atom_site_fract_y
_atom_site_fract_z
Cd1 Cd 0.000 0.000 0.000
P1 P 0.000 0.500 0.500
S1 S 0.500 0.500 0.000
F1 F 0.500 0.500 0.500
```

Computed properties:
Its density of states at the Fermi level is 0.8258 states/eV per atom.

--- Q ---
CdP2SF | PBEsol | relaxed

```
data_CdP2SF
_cell_length_a 4.923
_cell_length_b 4.923
_cell_length_c 4.802
_cell_angle_alpha 90.00
_cell_angle_beta 90.00
_cell_angle_gamma 90.00
_space_group_name_H-M_alt 'P 4/m m m'
_space_group_IT_number 123
_space_group_name_Hall '-P 4 2'
loop_
_atom_site_label
_atom_site_type_symbol
_atom_site_fract_x
_atom_site_fract_y
_atom_site_fract_z
Cd1 Cd 0.000 0.000 0.000
P1 P 0.000 0.500 0.000
S1 S 0.000 0.000 0.500
F1 F 0.500 0.500 0.500
```

Computed properties:
Its density of states at the Fermi level is 1.0106 states/eV per atom.

Energies, relative to the best one, in kJ/mol of atoms: P 0.0; Q 57.7.